Record 1
Computed, not measured: a relaxed structure of Mg6FeCoO8 at the PBE+U level of DFT.

Results
The total magnetization is 6.964 μB/f.u. The density of states at the Fermi level comes out at 0.26 states/eV/atom. The calculation puts the electronic total energy at -6.0253 eV per atom.

```
data_Mg6FeCoO8
_chemical_formula_sum 'Mg6 Fe1 Co1 O8'
_symmetry_space_group_name_H-M 'P 4/m m m'
_symmetry_Int_Tables_number 123
_symmetry_space_group_name_Hall '-P 4 2'
_cell_length_a 4.2906
_cell_length_b 4.2906
_cell_length_c 8.5055
_cell_angle_alpha 90.00
_cell_angle_beta 90.00
_cell_angle_gamma 90.00
loop_
_atom_site_label
_atom_site_type_symbol
_atom_site_fract_x
_atom_site_fract_y
_atom_site_fract_z
_atom_site_occupancy
Mg1 Mg 0.0000 0.0000 0.0000 1
Mg2 Mg 0.0000 0.0000 0.5000 1
Mg3 Mg 0.0000 0.5000 0.2489 1
Fe1 Fe 0.5000 0.5000 0.5000 1
Co1 Co 0.5000 0.5000 0.0000 1
O1 O 0.0000 0.0000 0.2494 1
O2 O 0.0000 0.5000 0.0000 1
O3 O 0.0000 0.5000 0.5000 1
O4 O 0.5000 0.5000 0.2489 1
```

Record 2
Computed, not measured: a relaxed structure of Mg30FeCoO32 at the PBE+U level of DFT.

Results
The total magnetization is 7.000 μB/f.u. The density of states at the Fermi level comes out at 0.19 states/eV/atom. The calculation puts the electronic total energy at -5.9848 eV per atom.

```
data_Mg30FeCoO32
_chemical_formula_sum 'Mg30 Fe1 Co1 O32'
_symmetry_space_group_name_H-M 'P 4/m m m'
_symmetry_Int_Tables_number 123
_symmetry_space_group_name_Hall '-P 4 2'
_cell_length_a 8.5219
_cell_length_b 8.5219
_cell_length_c 8.5205
_cell_angle_alpha 90.00
_cell_angle_beta 90.00
_cell_angle_gamma 90.00
loop_
_atom_site_label
_atom_site_type_symbol
_atom_site_fract_x
_atom_site_fract_y
_atom_site_fract_z
_atom_site_occupancy
Mg1 Mg 0.0000 0.0000 0.0000 1
Mg2 Mg 0.0000 0.2483 0.2513 1
Mg3 Mg 0.0000 0.5000 0.0000 1
Mg4 Mg 0.0000 0.5000 0.5000 1
Mg5 Mg 0.2465 0.2465 0.5000 1
Mg6 Mg 0.2485 0.5000 0.2491 1
Mg7 Mg 0.2493 0.2493 0.0000 1
Mg8 Mg 0.5000 0.5000 0.0000 1
Fe1 Fe 0.5000 0.5000 0.5000 1
Co1 Co 0.0000 0.0000 0.5000 1
O1 O 0.0000 0.0000 0.2429 1
O2 O 0.0000 0.2512 0.0000 1
O3 O 0.0000 0.2594 0.5000 1
O4 O 0.0000 0.5000 0.2495 1
O5 O 0.2503 0.2503 0.2505 1
O6 O 0.2510 0.5000 0.0000 1
O7 O 0.2534 0.5000 0.5000 1
O8 O 0.5000 0.5000 0.2504 1
```